[1]
## HfZrCo2 (GGA-PBE)

Data for crystalline HfZrCo2 at its relaxed geometry.

```
4
Lattice="0.000 3.170 3.170 3.170 0.000 3.170 3.170 3.170 0.000" Properties=species:S:1:pos:R:3 pbc="T T T"
Hf 0.000 0.000 0.000
Zr 3.170 3.170 3.170
Co 1.585 1.585 1.585
Co 4.755 4.755 4.755
```

Properties
Calculated formation energy, meV/atom: -333
Size of the total moment, μB/atom: 0.408

[2]
## Hf7Zr2Co2 (GGA-PBE)

Data for crystalline Hf7Zr2Co2 at its relaxed geometry.

```
11
Lattice="2.920 -4.691 0.000 2.920 4.691 0.000 -0.997 0.000 8.227" Properties=species:S:1:pos:R:3 pbc="T T T"
Hf 0.000 0.000 0.000
Hf 1.143 1.769 6.905
Hf 1.457 0.000 2.671
Hf 3.699 1.769 1.322
Hf 1.143 -1.769 6.905
Hf 3.384 0.000 5.556
Hf 3.699 -1.769 1.322
Zr 2.421 2.568 4.113
Zr 2.421 -2.568 4.113
Co 0.607 0.000 5.125
Co 4.235 0.000 3.102
```

Properties
Calculated formation energy, meV/atom: -35
Size of the total moment, μB/atom: 0.000

[3]
## HfZrCo10 (GGA-PBE)

Data for crystalline HfZrCo10 at its relaxed geometry.

```
12
Lattice="3.963 0.000 0.000 0.000 4.750 0.000 0.000 0.000 8.220" Properties=species:S:1:pos:R:3 pbc="T T T"
Hf 0.000 0.000 0.000
Zr 0.000 2.375 4.110
Co 0.000 0.000 2.726
Co 0.000 0.000 5.494
Co 0.000 2.375 1.357
Co 0.000 2.375 6.863
Co 1.981 0.000 4.110
Co 1.981 1.181 2.043
Co 1.981 1.181 6.178
Co 1.981 2.375 0.000
Co 1.981 3.569 2.043
Co 1.981 3.569 6.178
```

Properties
Calculated formation energy, meV/atom: -120
Size of the total moment, μB/atom: 1.061

[4]
## Hf6ZrCo (GGA-PBE)

Data for crystalline Hf6ZrCo at its relaxed geometry.

```
8
Lattice="4.187 2.417 2.782 -4.187 2.417 2.782 0.000 -4.835 2.782" Properties=species:S:1:pos:R:3 pbc="T T T"
Hf -2.191 -2.200 3.893
Hf -3.001 0.798 4.454
Hf 0.810 -2.998 4.454
Hf -0.810 2.998 3.893
Hf 3.001 -0.798 3.893
Hf 2.191 2.200 4.454
Zr 0.000 0.000 4.173
Co 0.000 0.000 0.000
```

Properties
Calculated formation energy, meV/atom: -2
Size of the total moment, μB/atom: 0.000

[5]
## Hf3ZrCo (GGA-PBE)

Data for crystalline Hf3ZrCo at its relaxed geometry.

```
10
Lattice="4.451 -6.875 0.000 4.451 6.875 0.000 0.000 0.000 3.302" Properties=species:S:1:pos:R:3 pbc="T T T"
Hf 0.000 0.000 0.000
Hf 1.732 1.956 1.651
Hf 1.732 -1.956 1.651
Hf 4.451 0.000 1.651
Hf 7.171 1.956 1.651
Hf 7.171 -1.956 1.651
Zr 4.451 2.737 0.000
Zr 4.451 -2.737 0.000
Co 2.523 0.000 0.000
Co 6.379 0.000 0.000
```

Properties
Calculated formation energy, meV/atom: -159
Offset from the most stable computed form, eV/atom: 0.0000
Size of the total moment, μB/atom: 0.000

[6]
## CoHg5 (GGA-PBE)

Data for crystalline CoHg5 at its relaxed geometry.

```
6
Lattice="6.808 -1.527 0.000 6.808 1.527 0.000 -0.403 0.000 7.387" Properties=species:S:1:pos:R:3 pbc="T T T"
Co 0.000 0.000 0.000
Hg 4.266 0.000 7.040
Hg 6.789 0.000 2.202
Hg 8.548 0.000 7.053
Hg 9.983 0.000 3.506
Hg 13.268 0.000 4.779
```

Properties
Calculated formation energy, meV/atom: 226
Size of the total moment, μB/atom: 0.192

[7]
## CoHg (GGA-PBE)

Data for crystalline CoHg at its relaxed geometry.

```
4
Lattice="5.052 -1.472 0.000 5.052 1.472 0.000 -1.528 0.000 4.423" Properties=species:S:1:pos:R:3 pbc="T T T"
Co 1.030 0.000 1.661
Co 7.547 0.000 2.762
Hg 3.732 0.000 0.750
Hg 4.844 0.000 3.674
```

Properties
Calculated formation energy, meV/atom: 453
Size of the total moment, μB/atom: 0.818

[8]
## CoHg (GGA-PBE)

Data for crystalline CoHg at its relaxed geometry.

```
4
Lattice="3.942 -1.535 0.000 3.942 1.535 0.000 -3.369 0.000 5.777" Properties=species:S:1:pos:R:3 pbc="T T T"
Co 1.154 0.000 0.323
Co 3.361 0.000 5.454
Hg 1.144 0.000 3.856
Hg 3.371 0.000 1.922
```

Properties
Calculated formation energy, meV/atom: 439
Size of the total moment, μB/atom: 0.812

[9]
## CoHg3 (GGA-PBE)

Data for crystalline CoHg3 at its relaxed geometry.

```
8
Lattice="4.216 0.000 0.000 0.000 6.189 0.000 0.000 0.000 6.350" Properties=species:S:1:pos:R:3 pbc="T T T"
Co 1.054 1.547 1.385
Co 3.162 4.642 4.965
Hg 1.054 0.036 4.193
Hg 1.054 3.059 4.193
Hg 1.054 4.642 0.499
Hg 3.162 1.547 5.851
Hg 3.162 3.130 2.157
Hg 3.162 6.153 2.157
```

Properties
Calculated formation energy, meV/atom: 448
Offset from the most stable computed form, eV/atom: 0.1692
Size of the total moment, μB/atom: 0.373

[10]
## Co3Hg (GGA-PBE)

Data for crystalline Co3Hg at its relaxed geometry.

```
4
Lattice="1.364 0.787 8.561 -1.364 0.787 8.561 0.000 -1.575 8.561" Properties=species:S:1:pos:R:3 pbc="T T T"
Co 0.000 0.000 0.000
Co 0.000 0.000 6.690
Co 0.000 0.000 18.993
Hg 0.000 0.000 12.842
```

Properties
Calculated formation energy, meV/atom: 425
Size of the total moment, μB/atom: 1.200

[11]
## Co3Hg (GGA-PBE)

Data for crystalline Co3Hg at its relaxed geometry.

```
4
Lattice="-1.471 2.176 4.248 1.471 -2.176 4.248 1.471 2.176 -4.248" Properties=species:S:1:pos:R:3 pbc="T T T"
Co 0.000 0.000 0.000
Co 1.471 0.000 1.930
Co 0.000 2.176 2.318
Hg 0.000 0.000 4.248
```

Properties
Calculated formation energy, meV/atom: 423
Size of the total moment, μB/atom: 1.266

[12]
## CoHg (GGA-PBE)

Data for crystalline CoHg at its relaxed geometry.

```
4
Lattice="-1.966 1.966 4.162 1.966 -1.966 4.162 1.966 1.966 -4.162" Properties=species:S:1:pos:R:3 pbc="T T T"
Co 1.966 0.983 1.040
Co 0.000 0.983 3.121
Hg 1.966 -0.983 3.121
Hg 0.000 2.948 1.040
```

Properties
Calculated formation energy, meV/atom: 563
Size of the total moment, μB/atom: 0.771

Q: What is the formula in the tenth record?
A: Co3Hg

Q: Number 9 is which compound?
A: CoHg3

Q: Which value of calculated formation energy does entry 12 give?
A: 563 meV/atom